Entry 1:
The following is a PBE calculation of an optimized crystal structure of Pm5YEr5, from the Alexandria database.

Cell: 6.0837 6.0837 11.7490 Å, 90.00 90.00 120.00°
Last column: nearest neighbours and their distance in Å.
Sites, in units of the cell vectors:
Pm  0.6667  0.3333  0.1536  7 Pm 3.61-4.00, 3 Er 3.75, 3 Y 3.95
Pm  0.6667  0.3333  0.8464  7 Pm 3.61-4.00, 3 Er 3.75, 3 Y 3.95
Pm  0.3333  0.6667  0.3159  9 Er 3.56-3.73, 1 Y 3.71
Pm  0.3333  0.6667  0.6841  9 Er 3.56-3.73, 1 Y 3.71
Pm  0.0000  0.0000  0.0000  2 Er 3.12
Y  0.3333  0.6667  0.0000  5 Pm 3.51-3.71
Er  0.3333  0.1667  0.5000  6 Er 3.04-3.26
Er  0.0000  0.0000  0.2659  1 Pm 3.12, 3 Er 3.26
Er  0.8333  0.6667  0.5000  6 Er 3.04-3.26
Er  0.8333  0.1667  0.5000  6 Er 3.04-3.26
Er  0.0000  0.0000  0.7341  1 Pm 3.12, 3 Er 3.26

Computed properties:
Raw total energy ... -49.813 eV/cell
Formation energy from the elements ... 3.2 eV/f.u.

***

Entry 2:
The following is a PBE calculation of an optimized crystal structure of Pm4Y2Er, from the Alexandria database.

Cell: 6.8754 9.0300 9.0300 Å, 78.16 67.62 67.62°
Last column: nearest neighbours and their distance in Å.
Sites, in units of the cell vectors:
Pm  0.1459  0.3602  0.3479  1 Y 3.36, 2 Er 3.50, 5 Pm 3.57-3.69
Pm  0.1459  0.8479  0.8602  1 Y 3.36, 2 Er 3.50, 5 Pm 3.57-3.69
Pm  0.2278  0.2413  0.7413  1 Pm 3.01, 1 Er 3.17, 1 Y 3.20
Pm  0.7896  0.2413  0.7413  1 Pm 3.01, 1 Er 3.17, 1 Y 3.20
Pm  0.2104  0.7587  0.2587  1 Pm 3.01, 1 Er 3.17, 1 Y 3.20
Pm  0.8541  0.1521  0.1398  1 Y 3.36, 2 Er 3.50, 5 Pm 3.57-3.69
Pm  0.7722  0.7587  0.2587  1 Pm 3.01, 1 Er 3.17, 1 Y 3.20
Pm  0.8541  0.6398  0.6521  1 Y 3.36, 2 Er 3.50, 5 Pm 3.57-3.69
Y  0.2826  0.9674  0.4674  4 Pm 3.20-3.36, 2 Y 3.53
Y  0.5000  0.0000  0.0000  4 Pm 3.44
Y  0.5000  0.5000  0.5000  4 Pm 3.44
Y  0.7174  0.0326  0.5326  4 Pm 3.20-3.36, 2 Y 3.53
Er  0.0000  0.5000  0.0000  6 Pm 3.17-3.50, 2 Er 3.44
Er  0.5000  0.5000  0.0000  6 Pm 3.17-3.50, 2 Er 3.44

Computed properties:
Raw total energy ... -69.533 eV/cell
Formation energy from the elements ... 1.7 eV/f.u.
E above lowest polymorph ... 0.193 eV/atom

***

Entry 3:
The following is a PBE calculation of an optimized crystal structure of Pm2Y7Er2, from the Alexandria database.

Cell: 6.0654 8.6845 8.6845 Å, 84.34 63.52 63.52°
Last column: nearest neighbours and their distance in Å.
Sites, in units of the cell vectors:
Pm  0.5000  0.2114  0.7886  4 Y 3.26-3.45, 2 Er 3.47
Pm  0.5000  0.7886  0.2114  4 Y 3.26-3.45, 2 Er 3.47
Y  0.1692  0.5884  0.0650  4 Y 3.25-3.62, 2 Pm 3.26-3.45, 2 Er 3.37-3.60
Y  0.8308  0.9350  0.4116  4 Y 3.25-3.62, 2 Pm 3.26-3.45, 2 Er 3.37-3.60
Y  0.8308  0.4116  0.9350  4 Y 3.25-3.62, 2 Pm 3.26-3.45, 2 Er 3.37-3.60
Y  0.1692  0.0650  0.5884  4 Y 3.25-3.62, 2 Pm 3.26-3.45, 2 Er 3.37-3.60
Y  0.3774  0.4084  0.4084  3 Er 3.45-3.70, 6 Y 3.46-3.80, 2 Pm 3.79
Y  0.0000  0.0000  0.0000  4 Y 3.32, 2 Er 3.47
Y  0.6226  0.5916  0.5916  3 Er 3.45-3.70, 6 Y 3.46-3.80, 2 Pm 3.79
Er  0.8812  0.7678  0.7678  8 Y 3.37-3.70, 2 Pm 3.47
Er  0.1188  0.2322  0.2322  8 Y 3.37-3.70, 2 Pm 3.47

Computed properties:
Raw total energy ... -62.124 eV/cell
Formation energy from the elements ... 1.8 eV/f.u.
E above lowest polymorph ... 0.052 eV/atom

***

Entry 4:
The following is a PBE calculation of an optimized crystal structure of Pm2Y7Er, from the Alexandria database.

Cell: 5.3506 8.2708 9.8479 Å, 114.83 90.00 90.00°
Last column: nearest neighbours and their distance in Å.
Sites, in units of the cell vectors:
Pm  0.5000  0.7341  0.4683  6 Y 3.38-3.63
Pm  0.5000  0.2659  0.5317  6 Y 3.38-3.63
Y  0.0000  0.5969  0.1934  3 Y 3.19-3.46
Y  0.0000  0.4031  0.8066  3 Y 3.19-3.46
Y  0.5000  0.7112  0.8030  2 Y 3.11-3.15, 1 Pm 3.38
Y  0.5000  0.2888  0.1970  2 Y 3.11-3.15, 1 Pm 3.38
Y  0.5000  0.9083  0.1971  2 Y 3.11-3.15, 1 Pm 3.38
Y  0.5000  0.0917  0.8029  2 Y 3.11-3.15, 1 Pm 3.38
Y  0.5000  0.5000  0.0000  8 Y 3.11-3.19
Er  0.0000  0.0000  0.0000  8 Y 3.57

Computed properties:
Raw total energy ... -52.760 eV/cell
Formation energy from the elements ... 6.6 eV/f.u.
E above lowest polymorph ... 0.494 eV/atom

***

Entry 5:
The following is a PBE calculation of an optimized crystal structure of Pm2Y6Er5, from the Alexandria database.

Cell: 3.5826 11.7086 20.1828 Å, 90.00 90.00 90.00°
Last column: nearest neighbours and their distance in Å.
Sites, in units of the cell vectors:
Pm  0.0000  0.3360  0.2866  4 Y 3.37-3.74, 4 Er 3.53-3.57, 2 Pm 3.58
Pm  0.0000  0.6640  0.7134  4 Y 3.37-3.74, 4 Er 3.53-3.57, 2 Pm 3.58
Pm  0.0000  0.8360  0.2134  4 Y 3.37-3.74, 4 Er 3.53-3.57, 2 Pm 3.58
Pm  0.0000  0.1640  0.7866  4 Y 3.37-3.74, 4 Er 3.53-3.57, 2 Pm 3.58
Y  0.0000  0.0842  0.3676  6 Er 3.36-3.53, 1 Pm 3.37, 4 Y 3.53-3.58
Y  0.0000  0.9158  0.6324  6 Er 3.36-3.53, 1 Pm 3.37, 4 Y 3.53-3.58
Y  0.0000  0.5842  0.1324  6 Er 3.36-3.53, 1 Pm 3.37, 4 Y 3.53-3.58
Y  0.0000  0.4158  0.8676  6 Er 3.36-3.53, 1 Pm 3.37, 4 Y 3.53-3.58
Y  0.5000  0.3246  0.1288  2 Er 3.31, 4 Y 3.53-3.58, 2 Pm 3.66
Y  0.5000  0.6754  0.8712  2 Er 3.31, 4 Y 3.53-3.58, 2 Pm 3.66
Y  0.5000  0.8246  0.3712  2 Er 3.31, 4 Y 3.53-3.58, 2 Pm 3.66
Y  0.5000  0.1754  0.6288  2 Er 3.31, 4 Y 3.53-3.58, 2 Pm 3.66
Y  0.0000  0.5573  0.4204  6 Er 3.46-3.57, 5 Y 3.48-3.74, 1 Pm 3.74
Y  0.0000  0.4427  0.5796  6 Er 3.46-3.57, 5 Y 3.48-3.74, 1 Pm 3.74
Y  0.0000  0.0573  0.0796  6 Er 3.46-3.57, 5 Y 3.48-3.74, 1 Pm 3.74
Y  0.0000  0.9427  0.9204  6 Er 3.46-3.57, 5 Y 3.48-3.74, 1 Pm 3.74
Er  0.5000  0.3008  0.4506  7 Y 3.53-3.89, 3 Er 3.58-3.66, 2 Pm 3.79
Er  0.5000  0.6992  0.5494  7 Y 3.53-3.89, 3 Er 3.58-3.66, 2 Pm 3.79
Er  0.5000  0.8008  0.0494  7 Y 3.53-3.89, 3 Er 3.58-3.66, 2 Pm 3.79
Er  0.5000  0.1992  0.9506  7 Y 3.53-3.89, 3 Er 3.58-3.66, 2 Pm 3.79
Er  0.5000  0.5949  0.2754  5 Y 3.31-3.46, 4 Pm 3.53-3.57, 2 Er 3.58
Er  0.5000  0.4051  0.7246  5 Y 3.31-3.46, 4 Pm 3.53-3.57, 2 Er 3.58
Er  0.5000  0.0949  0.2246  5 Y 3.31-3.46, 4 Pm 3.53-3.57, 2 Er 3.58
Er  0.5000  0.9051  0.7754  5 Y 3.31-3.46, 4 Pm 3.53-3.57, 2 Er 3.58
Er  0.5000  0.5000  0.0000  6 Y 3.31-3.36, 4 Er 3.58-3.66
Er  0.5000  0.0000  0.5000  6 Y 3.31-3.36, 4 Er 3.58-3.66

Computed properties:
Raw total energy ... -139.537 eV/cell
Formation energy from the elements ... 1.3 eV/f.u.

***

Entry 6:
The following is a PBE calculation of an optimized crystal structure of PmY2Er4, from the Alexandria database.

Cell: 3.5116 9.4034 8.4990 Å, 121.62 78.10 111.88°
Last column: nearest neighbours and their distance in Å.
Sites, in units of the cell vectors:
Pm  0.0000  0.0000  0.0000  2 Y 3.34, 2 Pm 3.51, 4 Er 3.56
Y  0.3602  0.4304  0.1412  1 Y 3.13, 3 Er 3.29-3.49, 1 Pm 3.34
Y  0.6398  0.5696  0.8588  1 Y 3.13, 3 Er 3.29-3.49, 1 Pm 3.34
Er  0.4113  0.7069  0.5891  3 Y 3.29-3.49, 7 Er 3.51-3.67, 2 Pm 3.56
Er  0.8079  0.1634  0.7132  7 Er 3.51-3.72, 4 Y 3.59-3.61, 2 Pm 3.76-3.77
Er  0.5887  0.2931  0.4109  3 Y 3.29-3.49, 7 Er 3.51-3.67, 2 Pm 3.56
Er  0.1920  0.8366  0.2868  7 Er 3.51-3.72, 4 Y 3.59-3.61, 2 Pm 3.76-3.77

Computed properties:
Raw total energy ... -35.639 eV/cell
Formation energy from the elements ... 0.3 eV/f.u.
E above lowest polymorph ... 0.000 eV/atom

***

| no. | DOS(E_F) (states/eV/f.u.) | V (Å³ per atom) |
| --- | --- | --- |
| 1 | 22.177 | 34.24 |
| 2 | 10.119 | 34.16 |
| 3 | 18.031 | 33.06 |
| 4 | 13.791 | 39.55 |
| 5 | 17.458 | 32.56 |
| 6 | 10.802 | 31.68 |